A relaxed LaEr2SiN4 crystal, computed with GGA-PBE.

Properties
The total moment is 0.00 μB per cell. For the formation energy from raw total energies, the calculation gives -11.4 eV/f.u. For the energy, the calculation gives -8.0221 eV/atom. The space-group type is Cmcm, No. 63.

Structure (extended XYZ):
```
16
Lattice="3.3892 0.0000 0.0000 -1.6946 5.7899 0.0000 0.0000 0.0000 11.4545" Properties=species:S:1:pos:R:3 pbc="T T T"
N 0.0000 0.0000 5.7273
N 0.0000 3.0550 1.4520
N 1.6946 2.7349 10.0025
N 0.0000 3.0550 4.2752
N 1.6946 1.1286 2.8636
N 1.6946 2.7349 7.1793
N 0.0000 0.0000 0.0000
N 0.0000 4.6613 8.5909
Si 0.0000 2.0540 2.8636
Si 1.6946 3.7359 8.5909
La 1.6946 4.7839 2.8636
La 0.0000 1.0060 8.5909
Er 0.0000 4.2679 6.2081
Er 0.0000 4.2679 10.9737
Er 1.6946 1.5220 0.4808
Er 1.6946 1.5220 5.2465
```